VASP calculation (PBE with a Hubbard U) on crystalline BaDyCr4O12 at its relaxed geometry.

Its total moment is 4.998 Bohr magnetons per cell. Its crystal system is tetragonal. The calculation puts the density of states at the Fermi level at 0.777 states/eV/atom. The final energy comes out at -6.963 eV/atom.

The structure belongs to space group P4/mmm (No. 123); the cell edges are 5.462, 5.462 and 7.449 Å and the angles 90.00°, 90.00° and 90.00°. The asymmetric unit holds Ba at (0.000, 0.000, 0.000), Dy at (0.500, 0.500, 0.500), Cr at (0.000, 0.500, 0.251), O at (0.000, 0.500, 0.000), O at (0.000, 0.500, 0.500) and O at (0.263, 0.263, 0.268).